Record 1
First-principles (PBE) data for a relaxed structure of Sr2TaAl, as listed in Alexandria.

total magnetization: 0.981 μB per formula unit
formation energy from the elements: 71.7 kJ/mol of atoms
space-group type: P4/mmm, No. 123

a = 4.5902 Å, b = 4.5902 Å, c = 5.1361 Å
α = 90.00°, β = 90.00°, γ = 90.00°
Closest atoms and distances in Å follow each position.
Fractional coordinates of all 4 atoms:
1 Sr 0.0000 0.5000 0.0000  4 Sr 3.25, 4 Ta 3.44, 4 Al 3.44
2 Sr 0.5000 0.0000 0.0000  4 Sr 3.25, 4 Ta 3.44, 4 Al 3.44
3 Ta 0.0000 0.0000 0.5000  4 Al 3.25, 8 Sr 3.44
4 Al 0.5000 0.5000 0.5000  4 Ta 3.25, 8 Sr 3.44


Record 2
First-principles (PBE) data for a relaxed structure of DyTmSc4, as listed in Alexandria.

total magnetization: 0.001 μB per formula unit
E above lowest polymorph: 29.6 meV per atom
formation energy from the elements: 6.1 kJ/mol of atoms
space-group type: Cmcm, No. 63

a = 9.7281 Å, b = 9.7281 Å, c = 5.2794 Å
α = 90.00°, β = 90.00°, γ = 140.62°
Closest atoms and distances in Å follow each position.
Fractional coordinates of all 12 atoms:
1 Dy 0.1244 0.8756 0.7500  2 Tm 3.28, 12 Sc 3.46-3.47
2 Dy 0.8756 0.1244 0.2500  2 Tm 3.28, 12 Sc 3.46-3.47
3 Tm 0.3745 0.6255 0.2500  2 Dy 3.28, 12 Sc 3.46-3.47
4 Tm 0.6255 0.3745 0.7500  2 Dy 3.28, 12 Sc 3.46-3.47
5 Sc 0.0421 0.4588 0.7500  5 Sc 3.05-3.28
6 Sc 0.2101 0.2935 0.7500  5 Sc 3.05-3.30
7 Sc 0.2935 0.2101 0.2500  5 Sc 3.05-3.30
8 Sc 0.4588 0.0421 0.2500  5 Sc 3.05-3.28
9 Sc 0.5412 0.9579 0.7500  5 Sc 3.05-3.28
10 Sc 0.7065 0.7899 0.7500  5 Sc 3.05-3.30
11 Sc 0.7899 0.7065 0.2500  5 Sc 3.05-3.30
12 Sc 0.9579 0.5412 0.2500  5 Sc 3.05-3.28


Record 3
First-principles (PBE) data for a relaxed structure of Rb2TiSI6, as listed in Alexandria.

total magnetization: 0.004 μB per formula unit
energy relative to the elements, uncorrected: -0.709 eV per atom
space-group type: I4/mmm, No. 139

a = 8.3351 Å, b = 8.3351 Å, c = 8.3351 Å
α = 114.92°, β = 114.92°, γ = 99.05°
Closest atoms and distances in Å follow each position.
Fractional coordinates of all 10 atoms:
1 Rb 0.2500 0.7500 0.5000  12 I 4.19-4.48
2 Rb 0.7500 0.2500 0.5000  12 I 4.19-4.48
3 Ti 0.0000 0.0000 0.0000  6 I 2.78-2.80
4 S 0.5000 0.5000 0.0000  2 I 2.61
5 I 0.2196 0.2196 0.4392  1 Ti 2.78
6 I 0.2196 0.7804 0.0000  1 Ti 2.78
7 I 0.2586 0.2586 0.0000  1 S 2.61, 1 Ti 2.80
8 I 0.7414 0.7414 0.0000  1 S 2.61, 1 Ti 2.80
9 I 0.7804 0.2196 0.0000  1 Ti 2.78
10 I 0.7804 0.7804 0.5608  1 Ti 2.78


Record 4
First-principles (PBE) data for a relaxed structure of CoCuRh2, as listed in Alexandria.

total magnetization: 3.364 μB per formula unit
E above lowest polymorph: 493.5 meV per atom
formation energy from the elements: 50.7 kJ/mol of atoms
space-group type: I-42d, No. 122

a = 5.3946 Å, b = 5.3946 Å, c = 5.3946 Å
α = 103.49°, β = 103.49°, γ = 122.24°
Closest atoms and distances in Å follow each position.
Fractional coordinates of all 8 atoms:
1 Co 0.0000 0.0000 0.0000  4 Rh 2.33, 2 Cu 2.61
2 Co 0.7500 0.2500 0.5000  4 Rh 2.33, 2 Cu 2.61
3 Cu 0.2500 0.7500 0.5000  4 Rh 2.58, 2 Co 2.61
4 Cu 0.5000 0.5000 0.0000  4 Rh 2.58, 2 Co 2.61
5 Rh 0.0981 0.6250 0.9731  2 Co 2.33, 2 Cu 2.58
6 Rh 0.3750 0.3481 0.4731  2 Co 2.33, 2 Cu 2.58
7 Rh 0.6519 0.1250 0.0269  2 Co 2.33, 2 Cu 2.58
8 Rh 0.8750 0.9019 0.5269  2 Co 2.33, 2 Cu 2.58


Record 5
First-principles (PBE) data for a relaxed structure of Nd12SmDy2, as listed in Alexandria.

total magnetization: 0.000 μB per formula unit
formation energy from the elements: 14.8 kJ/mol of atoms
space-group type: Cmme, No. 67

a = 6.8546 Å, b = 6.8546 Å, c = 25.0780 Å
α = 90.00°, β = 90.00°, γ = 116.46°
Closest atoms and distances in Å follow each position.
Fractional coordinates of all 30 atoms:
1 Nd 0.0019 0.5019 0.1309  8 Nd 3.38-3.72, 2 Sm 3.72-3.78
2 Nd 0.0024 0.9976 0.9254  2 Sm 3.45-3.47, 9 Nd 3.61-3.74
3 Nd 0.0194 0.5194 0.5849  7 Nd 3.33-3.69
4 Nd 0.0241 0.9759 0.4399  5 Nd 3.06-3.41
5 Nd 0.2500 0.2500 0.1993  3 Nd 3.15-3.38
6 Nd 0.2500 0.2500 0.3249  3 Nd 3.15-3.41
7 Nd 0.2500 0.2500 0.6751  3 Nd 3.15-3.41
8 Nd 0.2500 0.2500 0.8007  3 Nd 3.15-3.38
9 Nd 0.4759 0.5241 0.4399  5 Nd 3.06-3.41
10 Nd 0.4806 0.9806 0.5849  7 Nd 3.33-3.69
11 Nd 0.4976 0.5024 0.9254  2 Sm 3.45-3.47, 9 Nd 3.61-3.74
12 Nd 0.4981 0.9981 0.1309  8 Nd 3.38-3.72, 2 Sm 3.72-3.78
13 Nd 0.5019 0.0019 0.8691  8 Nd 3.38-3.72, 2 Sm 3.72-3.78
14 Nd 0.5024 0.4976 0.0746  2 Sm 3.45-3.47, 9 Nd 3.61-3.74
15 Nd 0.5194 0.0194 0.4151  7 Nd 3.33-3.69
16 Nd 0.5241 0.4759 0.5601  5 Nd 3.06-3.41
17 Nd 0.7500 0.7500 0.1993  3 Nd 3.15-3.38
18 Nd 0.7500 0.7500 0.3249  3 Nd 3.15-3.41
19 Nd 0.7500 0.7500 0.6751  3 Nd 3.15-3.41
20 Nd 0.7500 0.7500 0.8007  3 Nd 3.15-3.38
21 Nd 0.9759 0.0241 0.5601  5 Nd 3.06-3.41
22 Nd 0.9806 0.4806 0.4151  7 Nd 3.33-3.69
23 Nd 0.9976 0.0024 0.0746  2 Sm 3.45-3.47, 9 Nd 3.61-3.74
24 Nd 0.9981 0.4981 0.8691  8 Nd 3.38-3.72, 2 Sm 3.72-3.78
25 Sm 0.2500 0.7500 0.0011  8 Nd 3.45-3.78, 2 Sm 3.61
26 Sm 0.7500 0.2500 0.9989  8 Nd 3.45-3.78, 2 Sm 3.61
27 Dy 0.2500 0.7500 0.2714  2 Dy 3.61, 10 Nd 3.68-3.95
28 Dy 0.2500 0.7500 0.7328  2 Dy 3.61, 10 Nd 3.72-3.87
29 Dy 0.7500 0.2500 0.2672  2 Dy 3.61, 10 Nd 3.72-3.87
30 Dy 0.7500 0.2500 0.7286  2 Dy 3.61, 10 Nd 3.68-3.95


Record 6
First-principles (PBE) data for a relaxed structure of ScPAuO2, as listed in Alexandria.

total magnetization: 1.588 μB per formula unit
energy relative to the elements, uncorrected: -0.795 eV per atom
E above lowest polymorph: 0.0 meV per atom
space-group type: P4/mmm, No. 123

a = 3.9028 Å, b = 3.9028 Å, c = 5.9899 Å
α = 90.00°, β = 90.00°, γ = 90.00°
Closest atoms and distances in Å follow each position.
Fractional coordinates of all 5 atoms:
1 Sc 0.0000 0.0000 0.0000  4 O 1.95
2 P 0.0000 0.0000 0.5000  4 Au 2.76, 2 Sc 2.99
3 Au 0.5000 0.5000 0.5000  4 P 2.76
4 O 0.0000 0.5000 0.0000  2 Sc 1.95
5 O 0.5000 0.0000 0.0000  2 Sc 1.95


E_tot list, top to bottom, in eV per atom: -4.00, -5.67, -3.03, -5.95, -4.59, -5.78